Entry 1:
Crystalline Ca2Fe at its relaxed geometry. Source: Alexandria, functional PBE.

abc: 7.134 7.134 7.134
angles: 90.00 90.00 90.00
Space group Pa-3 (No. 205)
Unique sites:
Ca  0.161  0.161  0.161 x8
Fe  0.000  0.000  0.500 x4

Properties
Crystal system: cubic
E, eV per atom: -3.57
ΔE_f, eV/f.u.: 1.76

***

Entry 2:
Crystalline CaFe5 at its relaxed geometry. Source: Alexandria, functional PBE.

abc: 8.473 2.933 7.765
angles: 90.00 108.29 90.00
Space group C2/m (No. 12)
Unique sites:
Ca  0.000  0.000  0.000 x2
Fe  0.000  0.000  0.500 x2
Fe  0.161  0.500  0.368 x4
Fe  0.161  0.500  0.742 x4

Properties
Crystal system: monoclinic
E, eV per atom: -7.05
ΔE_f, eV/f.u.: 2.00

***

Entry 3:
Crystalline CaFe3 at its relaxed geometry. Source: Alexandria, functional PBE.

abc: 3.012 3.307 6.542
angles: 90.00 90.00 90.00
Space group Pmmm (No. 47)
Unique sites:
Ca  0.000  0.000  0.000 x1
Fe  0.000  0.000  0.500 x1
Fe  0.500  0.500  0.325 x2

Properties
Crystal system: orthorhombic
E, eV per atom: -6.47
ΔE_f, eV/f.u.: 1.50